# GaSiAg2F | the Alexandria database | GGA-PBE | relaxed
data_GaSiAg2F
_cell_length_a 4.9846
_cell_length_b 4.9846
_cell_length_c 3.8629
_cell_angle_alpha 90.00
_cell_angle_beta 90.00
_cell_angle_gamma 90.00
_space_group_name_H-M_alt 'P 4/m m m'
_space_group_IT_number 123
_space_group_name_Hall '-P 4 2'
loop_
_atom_site_label
_atom_site_fract_x
_atom_site_fract_y
_atom_site_fract_z
_atom_site_occupancy
Ga1 0.0000 0.0000 0.0000 1
Si1 0.5000 0.5000 0.5000 1
Ag1 0.0000 0.5000 0.5000 1
F1 0.5000 0.5000 0.0000 1
# Formation energy (no corrections) (eV/atom): -0.291
# Magnetic moment (Bohr magnetons per cell): 0.00